First-principles (PBE) data for crystalline AcY2Tm at its relaxed geometry, as listed in the Alexandria database.

Properties
The calculated density comes out at 6.85 Mg/m³. The density of states at the Fermi level is 6.1 states/eV per cell. The value obtained for the calculated formation energy is 44 meV per atom. The energy above the most stable polymorph in this dataset comes out at 0 meV/atom. Its space group is Imm2. The energy comes out at -5.333 eV/atom.

Cell and atoms, written as POSCAR:
```
AcY2Tm
1.0
-0.175 3.736 0.436
2.502 1.278 6.292
6.438 2.036 1.377
Ac Y Tm
1 2 1
Direct
0.250 0.179 0.321
0.007 0.069 0.917
0.493 0.583 0.431
0.750 0.670 0.830
```